(1)
Material: CrCd2Tc
Method: DFT, PBE
State: relaxed

```
data_CrCd2Tc
_chemical_formula_sum 'Cr2 Cd4 Tc2'
_cell_length_a 3.305
_cell_length_b 4.388
_cell_length_c 9.318
_cell_angle_alpha 90.00
_cell_angle_beta 90.00
_cell_angle_gamma 90.00
_symmetry_space_group_name_H-M 'C m m m'
_symmetry_Int_Tables_number 65
_symmetry_space_group_name_Hall '-C 2 2'
loop_
_atom_site_label
_atom_site_type_symbol
_atom_site_fract_x
_atom_site_fract_y
_atom_site_fract_z
Cr1 Cr 0.000 0.000 0.000
Cd1 Cd 0.000 0.500 0.246
Tc1 Tc 0.000 0.000 0.500
```

V ... 16.89 Å³ per atom
E_form ... 0.631 eV/atom
Energy above the lowest structure with this stoichiometry ... 420 meV per atom



(2)
Material: CrCd3Tc
Method: DFT, PBE
State: relaxed

```
data_CrCd3Tc
_chemical_formula_sum 'Cr1 Cd3 Tc1'
_cell_length_a 5.066
_cell_length_b 5.066
_cell_length_c 5.066
_cell_angle_alpha 90.00
_cell_angle_beta 90.00
_cell_angle_gamma 90.00
_symmetry_space_group_name_H-M 'P m -3 m'
_symmetry_Int_Tables_number 221
_symmetry_space_group_name_Hall '-P 4 2 3'
loop_
_atom_site_label
_atom_site_type_symbol
_atom_site_fract_x
_atom_site_fract_y
_atom_site_fract_z
Cr1 Cr 0.000 0.000 0.000
Cd1 Cd 0.000 0.000 0.500
Tc1 Tc 0.500 0.500 0.500
```

V ... 26.00 Å³ per atom
E_form ... 1.411 eV/atom
Energy above the lowest structure with this stoichiometry ... 0 meV per atom



(3)
Material: Cr2CdTcTe
Method: DFT, PBE
State: relaxed

```
data_Cr2CdTcTe
_chemical_formula_sum 'Cr2 Cd1 Tc1 Te1'
_cell_length_a 5.016
_cell_length_b 5.016
_cell_length_c 5.000
_cell_angle_alpha 90.00
_cell_angle_beta 90.00
_cell_angle_gamma 90.00
_symmetry_space_group_name_H-M 'P 4/m m m'
_symmetry_Int_Tables_number 123
_symmetry_space_group_name_Hall '-P 4 2'
loop_
_atom_site_label
_atom_site_type_symbol
_atom_site_fract_x
_atom_site_fract_y
_atom_site_fract_z
Cr1 Cr 0.000 0.500 0.000
Cd1 Cd 0.000 0.000 0.500
Tc1 Tc 0.500 0.500 0.500
Te1 Te 0.500 0.500 0.000
```

V ... 25.16 Å³ per atom
Formation energy (no corrections) ... 117.6 kJ per mole of atoms



(4)
Material: CrCdTe4
Method: DFT, PBE
State: relaxed

```
data_CrCdTe4
_chemical_formula_sum 'Cr4 Cd4 Te16'
_cell_length_a 9.028
_cell_length_b 9.028
_cell_length_c 9.028
_cell_angle_alpha 90.00
_cell_angle_beta 90.00
_cell_angle_gamma 90.00
_symmetry_space_group_name_H-M 'F -4 3 m'
_symmetry_Int_Tables_number 216
_symmetry_space_group_name_Hall 'F -4 2 3'
loop_
_atom_site_label
_atom_site_type_symbol
_atom_site_fract_x
_atom_site_fract_y
_atom_site_fract_z
Cr1 Cr 0.000 0.000 0.000
Cd1 Cd 0.250 0.250 0.250
Te1 Te 0.125 0.125 0.625
```

V ... 30.66 Å³ per atom
Formation energy (no corrections) ... 58.4 kJ per mole of atoms



no.,E_tot (eV per atom),mass density (g/cm³)
1,-4.824,9.2
2,-3.136,6.2
3,-5.515,5.8
4,-3.245,6.1